[1]
Here is an optimized crystal structure of SmHoMgHg from the Alexandria database. Energies are from PBE.

a b c (Å): 3.7884 3.7884 7.4863
angles (deg): 90.00 90.00 90.00
Last column: nearest neighbours and their distance in Å.
Element x y z (fractional)
Sm 0.0000 0.0000 0.0000  4 Mg 3.31, 4 Hg 3.32, 1 Ho 3.70
Ho 0.0000 0.0000 0.4939  4 Hg 3.19, 4 Mg 3.25
Mg 0.5000 0.5000 0.7395  4 Ho 3.25, 4 Sm 3.31, 1 Hg 3.57
Hg 0.5000 0.5000 0.2620  4 Ho 3.19, 4 Sm 3.32, 1 Mg 3.57

Output
distance to the lowest polymorph of the same formula = 0 meV per atom
total magnetization = 0.00 μB/f.u.
formation enthalpy at 0 K = -0.278 eV/atom

---

[2]
Here is an optimized crystal structure of Rb2TlTeI6 from the Alexandria database. Energies are from PBE.

a b c (Å): 8.8723 8.8723 8.8723
angles (deg): 119.57 119.57 90.74
Last column: nearest neighbours and their distance in Å.
Element x y z (fractional)
Rb 0.2500 0.7500 0.5000  12 I 4.44-4.47
Rb 0.7500 0.2500 0.5000  12 I 4.44-4.47
Tl 0.0000 0.0000 0.0000  6 I 3.17-3.28
Te 0.5000 0.5000 0.0000  6 I 2.95-3.14
I 0.2512 0.2512 0.5024  1 Te 3.14, 1 Tl 3.17
I 0.2512 0.7488 0.0000  1 Te 3.14, 1 Tl 3.17
I 0.2634 0.2634 0.0000  1 Te 2.95, 1 Tl 3.28
I 0.7366 0.7366 0.0000  1 Te 2.95, 1 Tl 3.28
I 0.7488 0.2512 0.0000  1 Te 3.14, 1 Tl 3.17
I 0.7488 0.7488 0.4976  1 Te 3.14, 1 Tl 3.17

Output
uncorrected formation energy = -696 meV/atom
total magnetization = 0.00 μB/f.u.

---

[3]
Here is an optimized crystal structure of HfScAgAu from the Alexandria database. Energies are from PBE.

a b c (Å): 4.8205 4.8205 4.8205
angles (deg): 60.00 60.00 60.00
Last column: nearest neighbours and their distance in Å.
Element x y z (fractional)
Hf 0.0000 0.0000 0.0000  4 Ag 2.95, 4 Au 2.95
Sc 0.5000 0.5000 0.5000  4 Au 2.95, 4 Ag 2.95
Ag 0.2500 0.2500 0.2500  4 Sc 2.95, 4 Hf 2.95
Au 0.7500 0.7500 0.7500  4 Sc 2.95, 4 Hf 2.95

Output
total magnetization = 0.00 μB/f.u.
formation enthalpy at 0 K = -0.335 eV/atom